Density functional theory data (PBE) for crystalline NdLuPu at its relaxed geometry.

Cell lengths 5.309, 5.309, 5.309 Å; angles 60.00, 60.00, 60.00 degrees
Site moments in Bohr magnetons follow the coordinates.
Sites, in units of the cell vectors:
1 Lu 0.750 0.750 0.750  0.37
2 Nd 0.000 0.000 0.000  0.45
3 Pu 0.250 0.250 0.250  5.65

Summary:
Energy of formation from the pure elements ... 0.798 eV/atom
Calculated density ... 8.84 g/cm3

***

Density functional theory data (PBE) for crystalline Li3LuO4 at its relaxed geometry.

Cell lengths 5.037, 12.209, 5.387 Å; angles 90.00, 109.03, 90.00 degrees
Site moments in Bohr magnetons follow the coordinates.
Sites, in units of the cell vectors:
1 Li 0.500 0.126 0.000  -0.01
2 Li 0.500 0.390 0.000  -0.01
3 Li 0.000 0.499 0.000  -0.01
4 Li 0.500 0.611 0.000  -0.01
5 Li 0.500 0.869 0.000  0.00
6 Li 0.500 0.026 0.500  0.00
7 Li 0.000 0.133 0.500  0.00
8 Li 0.500 0.249 0.500  -0.01
9 Li 0.000 0.385 0.500  -0.01
10 Li 0.500 0.498 0.500  -0.01
11 Li 0.000 0.613 0.500  -0.01
12 Li 0.500 0.731 0.500  0.00
13 Lu 0.000 0.006 0.000  0.00
14 Lu 0.000 0.264 0.000  -0.02
15 Lu 0.000 0.730 0.000  0.01
16 Lu 0.000 0.871 0.500  0.00
17 O 0.241 0.867 0.232  0.14
18 O 0.774 0.497 0.242  0.82
19 O 0.244 0.134 0.245  0.20
20 O 0.734 0.265 0.251  0.57
21 O 0.743 0.740 0.255  0.27
22 O 0.261 0.388 0.257  0.62
23 O 0.745 0.001 0.257  0.22
24 O 0.257 0.609 0.258  0.52
25 O 0.743 0.609 0.742  0.53
26 O 0.255 0.001 0.743  0.22
27 O 0.739 0.388 0.743  0.62
28 O 0.257 0.740 0.745  0.28
29 O 0.266 0.265 0.749  0.57
30 O 0.756 0.134 0.755  0.20
31 O 0.226 0.497 0.758  0.82
32 O 0.759 0.867 0.768  0.14

Summary:
Energy above the most stable polymorph in this dataset ... 5 meV/atom
Calculated density ... 5.51 g/cm3

***

Density functional theory data (PBE) for crystalline NaNi2Se3 at its relaxed geometry.

Cell lengths 6.800, 6.800, 9.759 Å; angles 90.00, 90.00, 149.62 degrees
Sites, in units of the cell vectors:
1 Na 0.253 0.747 0.250
2 Na 0.747 0.253 0.750
3 Ni 0.500 0.500 0.000
4 Ni 0.950 0.050 0.250
5 Ni 0.500 0.500 0.500
6 Ni 0.050 0.950 0.750
7 Se 0.874 0.126 0.035
8 Se 0.562 0.438 0.250
9 Se 0.874 0.126 0.465
10 Se 0.126 0.874 0.535
11 Se 0.438 0.562 0.750
12 Se 0.126 0.874 0.965

Summary:
Energy above the most stable polymorph in this dataset ... 21 meV/atom
Calculated density ... 5.49 g/cm3